No. 1
{
  "formula": "Rb2CuBiCl6",
  "functional": "GGA-PBEsol",
  "state": "relaxed",
  "formation_energy_uncorrected_mev_per_atom": -1271,
  "volume_a3_per_atom": 27.2,
  "total_energy_ry_per_atom": -0.26036,
  "magmom_total_mub_per_cell": 0.0,
  "cell": [[0.0000, 5.1419, 5.1419], [5.1419, 0.0000, 5.1419], [5.1419, 5.1419, 0.0000]],
  "species": ["Rb", "Rb", "Cu", "Bi", "Cl", "Cl", "Cl", "Cl", "Cl", "Cl"],
  "frac_coords": [[0.2500, 0.2500, 0.2500], [0.7500, 0.7500, 0.7500], [0.0000, 0.0000, 0.0000], [0.5000, 0.5000, 0.5000], [0.2373, 0.2373, 0.7627], [0.2373, 0.7627, 0.2373], [0.2373, 0.7627, 0.7627], [0.7627, 0.2373, 0.2373], [0.7627, 0.2373, 0.7627], [0.7627, 0.7627, 0.2373]]
}


No. 2
{
  "formula": "CuAg2BBr",
  "functional": "GGA-PBEsol",
  "state": "relaxed",
  "formation_energy_uncorrected_mev_per_atom": 799,
  "volume_a3_per_atom": 18.5,
  "total_energy_ry_per_atom": -0.23299,
  "magmom_total_mub_per_cell": 0.0,
  "cell": [[4.9460, 0.0000, 0.0000], [0.0000, 4.9460, 0.0000], [0.0000, 0.0000, 3.7783]],
  "species": ["Cu", "Ag", "Ag", "B", "Br"],
  "frac_coords": [[0.0000, 0.0000, 0.0000], [0.0000, 0.5000, 0.0000], [0.5000, 0.0000, 0.0000], [0.0000, 0.0000, 0.5000], [0.5000, 0.5000, 0.5000]]
}


No. 3
{
  "formula": "YTa2Cd",
  "functional": "GGA-PBEsol",
  "state": "relaxed",
  "volume_a3_per_atom": 20.6,
  "formation_enthalpy_0k_ev_per_atom": 0.3565,
  "total_energy_ry_per_atom": -0.58239,
  "magmom_total_mub_per_cell": 0.0,
  "cell": [[2.9761, 0.0000, 0.0000], [0.0000, 5.2254, 0.0000], [-0.5318, 0.0000, 5.2901]],
  "species": ["Y", "Ta", "Ta", "Cd"],
  "frac_coords": [[0.0000, 0.0000, 0.0000], [0.3517, 0.5000, 0.7480], [0.6483, 0.5000, 0.2520], [0.5000, 0.0000, 0.5000]]
}


No. 4
{
  "formula": "Mg16Al12Pt",
  "functional": "GGA-PBEsol",
  "state": "relaxed",
  "volume_a3_per_atom": 19.3,
  "formation_enthalpy_0k_ev_per_atom": -0.0882,
  "total_energy_ry_per_atom": -0.21820,
  "magmom_total_mub_per_cell": 0.0,
  "cell": [[5.2030, -7.2741, 0.0000], [5.2030, 7.2741, 0.0000], [-5.0862, 0.0000, 7.3980]],
  "species": ["Mg", "Mg", "Mg", "Mg", "Mg", "Mg", "Mg", "Mg", "Mg", "Mg", "Mg", "Mg", "Mg", "Mg", "Mg", "Mg", "Al", "Al", "Al", "Al", "Al", "Al", "Al", "Al", "Al", "Al", "Al", "Al", "Pt"],
  "frac_coords": [[0.0000, 0.0000, 0.0000], [0.0038, 0.3222, 0.6056], [0.0083, 0.3592, 0.0021], [0.0108, 0.6064, 0.3287], [0.0148, 0.0148, 0.3592], [0.3017, 0.6812, 0.6963], [0.3222, 0.0038, 0.6056], [0.3384, 0.5862, 0.9892], [0.3592, 0.0083, 0.0021], [0.4121, 0.7186, 0.4089], [0.5862, 0.3384, 0.9892], [0.6064, 0.0108, 0.3287], [0.6191, 0.6191, 0.6743], [0.6812, 0.3017, 0.6963], [0.6987, 0.6987, 0.3026], [0.7186, 0.4121, 0.4089], [0.0068, 0.8185, 0.6446], [0.0113, 0.6381, 0.8268], [0.1891, 0.1891, 0.8130], [0.1887, 0.3740, 0.3749], [0.2039, 0.8243, 0.1933], [0.3671, 0.3671, 0.1794], [0.3740, 0.1887, 0.3749], [0.6381, 0.0113, 0.8268], [0.6549, 0.8390, 0.0260], [0.8185, 0.0068, 0.6446], [0.8243, 0.2039, 0.1933], [0.8390, 0.6549, 0.0260], [0.3276, 0.3276, 0.6495]]
}